DFT (GGA-PBE) results for NdYThSc after structural relaxation.

Summary:
Its energy of formation is 0.117 eV per atom. As for the energy above the most stable polymorph in this dataset: 15 meV per atom.

a b c (Å): 7.918 7.918 7.918
angles (deg): 90.00 90.00 90.00
Space group F-43m (No. 216)
Asymmetric unit:
Nd (0.000, 0.000, 0.000)
Y (0.250, 0.250, 0.250)
Th (0.000, 0.000, 0.500)
Sc (0.250, 0.250, 0.750)

***

DFT (GGA-PBE) results for FeGe2Ir after structural relaxation.

Summary:
Its energy of formation is 0.483 eV per atom.

a b c (Å): 5.698 5.698 10.217
angles (deg): 90.00 90.00 90.00
Space group I-42d (No. 122)
Asymmetric unit:
Fe (0.000, 0.000, 0.000)
Ge (0.249, 0.250, 0.125)
Ir (0.000, 0.000, 0.500)

***

DFT (GGA-PBE) results for BeZnSbTe2 after structural relaxation.

Summary:
The calculation puts the raw formation energy at 0.483 eV/atom. As for the energy above the most stable polymorph in this dataset: 0 meV per atom.

a b c (Å): 5.190 5.190 4.685
angles (deg): 90.00 90.00 90.00
Space group P4/mmm (No. 123)
Asymmetric unit:
Be (0.000, 0.000, 0.000)
Zn (0.500, 0.500, 0.500)
Sb (0.000, 0.000, 0.500)
Te (0.000, 0.500, 0.000)

***

DFT (GGA-PBE) results for Pm3Sm5Co2 after structural relaxation.

Summary:
Its energy of formation is 0.016 eV per atom.

a b c (Å): 10.394 15.005 7.844
angles (deg): 90.00 90.00 90.00
Space group Ibam (No. 72)
Asymmetric unit:
Pm (0.000, 0.000, 0.250)
Pm (0.241, 0.374, 0.000)
Sm (0.000, 0.253, 0.250)
Sm (0.000, 0.500, 0.250)
Sm (0.242, 0.378, 0.500)
Co (0.000, 0.131, 0.000)

***

DFT (GGA-PBE) results for HgBW2I after structural relaxation.

Summary:
The calculation puts the raw formation energy at 3.394 eV/atom.

a b c (Å): 4.976 4.976 5.974
angles (deg): 90.00 90.00 90.00
Space group P4/mmm (No. 123)
Asymmetric unit:
Hg (0.000, 0.000, 0.000)
B (0.500, 0.500, 0.000)
W (0.000, 0.500, 0.500)
I (0.000, 0.000, 0.500)

***

DFT (GGA-PBE) results for NaAs2Pb2 after structural relaxation.

Summary:
Its energy of formation is 0.029 eV per atom.

a b c (Å): 5.487 5.487 10.157
angles (deg): 90.00 90.00 90.00
Space group I4/mmm (No. 139)
Asymmetric unit:
Na (0.000, 0.000, 0.000)
As (0.000, 0.500, 0.250)
Pb (0.000, 0.000, 0.345)

***

DFT (GGA-PBE) results for PaMnH2 after structural relaxation.

Summary:
The electronic total energy is -0.2338 Ha/atom.

a b c (Å): 2.9847 2.9847 16.4232
angles (deg): 90.00 90.00 120.00
Space group R-3m (No. 166, hexagonal axes)
Asymmetric unit:
Pa (0.0000, 0.0000, 0.0000)
Mn (0.0000, 0.0000, 0.5000)
H (0.0000, 0.0000, 0.2187)

***

DFT (GGA-PBE) results for RbDy3B4O12 after structural relaxation.

Summary:
The calculation puts the raw formation energy at -2.698 eV/atom.

a b c (Å): 10.3272 10.3272 9.1181
angles (deg): 90.00 90.00 120.00
Space group R32 (No. 155, hexagonal axes)
Asymmetric unit:
Rb (0.0000, 0.0000, 0.0000)
Dy (0.0000, 0.5479, 0.0000)
B (0.0000, 0.0000, 0.5000)
B (0.0000, 0.4579, 0.5000)
O (0.0000, 0.5920, 0.5000)
O (0.0000, 0.8650, 0.5000)
O (0.0057, 0.2136, 0.2046)

***

DFT (GGA-PBE) results for La9Ni2Ir4 after structural relaxation.

Summary:
Its energy of formation is -0.529 eV per atom.

a b c (Å): 7.2186 7.2186 19.9162
angles (deg): 90.00 90.00 120.00
Space group P-3c1 (No. 165)
Asymmetric unit:
La (0.0000, 0.3363, 0.2500)
La (0.0019, 0.3352, 0.5828)
Ni (0.0000, 0.0000, 0.1742)
Ir (0.3333, 0.6667, 0.1671)
Ir (0.3333, 0.6667, 0.4994)

***

DFT (GGA-PBE) results for In3B after structural relaxation.

Summary:
Its energy of formation is 0.898 eV per atom. As for the energy above the most stable polymorph in this dataset: 0 meV per atom.

a b c (Å): 4.447 4.447 4.447
angles (deg): 90.00 90.00 90.00
Space group Pm-3m (No. 221)
Asymmetric unit:
In (0.000, 0.000, 0.500)
B (0.500, 0.500, 0.500)

***

DFT (GGA-PBE) results for BaSr2MgPd after structural relaxation.

Summary:
Its energy of formation is -0.243 eV per atom. As for the energy above the most stable polymorph in this dataset: 0 meV per atom.

a b c (Å): 6.010 6.010 5.439
angles (deg): 90.00 90.00 90.00
Space group P4/mmm (No. 123)
Asymmetric unit:
Ba (0.000, 0.000, 0.000)
Sr (0.000, 0.500, 0.500)
Mg (0.500, 0.500, 0.000)
Pd (0.500, 0.500, 0.500)

***

DFT (GGA-PBE) results for HoNiBiRh after structural relaxation.

Summary:
Its energy of formation is -0.413 eV per atom.

a b c (Å): 6.723 6.723 6.723
angles (deg): 90.00 90.00 90.00
Space group F-43m (No. 216)
Asymmetric unit:
Ho (0.000, 0.000, 0.000)
Ni (0.250, 0.250, 0.250)
Bi (0.000, 0.000, 0.500)
Rh (0.250, 0.250, 0.750)

***

The records above give, respectively, density of states at the Fermi level values of 7.4, 4.1, 4.1, 13.3, 5.6, 2.5, 2.7, 7.8, 9.8, 2.2, 4.6, 3.3 states/eV/f.u..
The records above give, respectively, magnetic moment values of 0.00, 2.05, 0.00, 0.00, 3.42, 0.00, 1.96, 2.04, 0.00, 0.00, 0.00, 0.00 μB per formula unit.